Entry 1:
# ReSi2Ag PBEsol optimized geometry
data_ReSi2Ag
_chemical_formula_sum 'Re2 Si4 Ag2'
_space_group_name_H-M_alt 'I 4/m m m'
_space_group_IT_number 139
_space_group_name_Hall '-I 4 2'
_cell_length_a 3.9683
_cell_length_b 3.9683
_cell_length_c 7.1313
_cell_angle_alpha 90.00
_cell_angle_beta 90.00
_cell_angle_gamma 90.00
loop_
_atom_site_label
_atom_site_fract_x
_atom_site_fract_y
_atom_site_fract_z
Re1 0.0000 0.0000 0.0000
Si1 0.0000 0.5000 0.2500
Ag1 0.0000 0.0000 0.5000
# - Total moment: 0.00 μB/cell
# - Formation energy without anion corrections: 0.234 eV per atom
# - E above lowest polymorph: 0.00 eV per formula unit
# - Raw total energy: -6.7999 eV/atom

Entry 2:
# ReSi2Ag PBEsol optimized geometry
data_ReSi2Ag
_chemical_formula_sum 'Re1 Si2 Ag1'
_space_group_name_H-M_alt 'P 4/m m m'
_space_group_IT_number 123
_space_group_name_Hall '-P 4 2'
_cell_length_a 4.2263
_cell_length_b 4.2263
_cell_length_c 3.1217
_cell_angle_alpha 90.00
_cell_angle_beta 90.00
_cell_angle_gamma 90.00
loop_
_atom_site_label
_atom_site_fract_x
_atom_site_fract_y
_atom_site_fract_z
Re1 0.0000 0.0000 0.0000
Si1 0.0000 0.5000 0.5000
Ag1 0.5000 0.5000 0.0000
# - Total moment: 0.00 μB/cell
# - Formation energy without anion corrections: 0.238 eV per atom
# - E above lowest polymorph: 0.01 eV per formula unit
# - Raw total energy: -6.7963 eV/atom

Entry 3:
# ReSi2Ag PBEsol optimized geometry
data_ReSi2Ag
_chemical_formula_sum 'Re4 Si8 Ag4'
_space_group_name_H-M_alt 'F -4 3 m'
_space_group_IT_number 216
_space_group_name_Hall 'F -4 2 3'
_cell_length_a 6.1716
_cell_length_b 6.1716
_cell_length_c 6.1716
_cell_angle_alpha 90.00
_cell_angle_beta 90.00
_cell_angle_gamma 90.00
loop_
_atom_site_label
_atom_site_fract_x
_atom_site_fract_y
_atom_site_fract_z
Re1 0.0000 0.0000 0.0000
Si1 0.0000 0.0000 0.5000
Si2 0.2500 0.2500 0.2500
Ag1 0.2500 0.2500 0.7500
# - Total moment: 0.00 μB/cell
# - Formation energy without anion corrections: 0.696 eV per atom
# - E above lowest polymorph: 1.85 eV per formula unit
# - Raw total energy: -6.3386 eV/atom

Entry 4:
# Sr3ReAg PBEsol optimized geometry
data_Sr3ReAg
_chemical_formula_sum 'Sr3 Re1 Ag1'
_space_group_name_H-M_alt 'P m -3 m'
_space_group_IT_number 221
_space_group_name_Hall '-P 4 2 3'
_cell_length_a 5.7867
_cell_length_b 5.7867
_cell_length_c 5.7867
_cell_angle_alpha 90.00
_cell_angle_beta 90.00
_cell_angle_gamma 90.00
loop_
_atom_site_label
_atom_site_fract_x
_atom_site_fract_y
_atom_site_fract_z
Sr1 0.0000 0.0000 0.5000
Re1 0.5000 0.5000 0.5000
Ag1 0.0000 0.0000 0.0000
# - Energy of formation: 1211 meV/atom
# - Total moment: 3.54 μB/cell
# - Raw total energy: -3.2220 eV/atom

Entry 5:
# SrReAg PBEsol optimized geometry
data_SrReAg
_chemical_formula_sum 'Sr4 Re4 Ag4'
_space_group_name_H-M_alt 'F -4 3 m'
_space_group_IT_number 216
_space_group_name_Hall 'F -4 2 3'
_cell_length_a 6.7550
_cell_length_b 6.7550
_cell_length_c 6.7550
_cell_angle_alpha 90.00
_cell_angle_beta 90.00
_cell_angle_gamma 90.00
loop_
_atom_site_label
_atom_site_fract_x
_atom_site_fract_y
_atom_site_fract_z
Sr1 0.0000 0.0000 0.0000
Re1 0.0000 0.0000 0.5000
Ag1 0.2500 0.2500 0.2500
# - Energy of formation: 1485 meV/atom
# - Total moment: 12.43 μB/cell
# - E above lowest polymorph: 0.00 eV per formula unit
# - Raw total energy: -4.6760 eV/atom

Entry 6:
# Sr2ReAg PBEsol optimized geometry
data_Sr2ReAg
_chemical_formula_sum 'Sr2 Re1 Ag1'
_space_group_name_H-M_alt 'P 4 m m'
_space_group_IT_number 99
_cell_length_a 3.5641
_cell_length_b 3.5641
_cell_length_c 8.7593
_cell_angle_alpha 90.00
_cell_angle_beta 90.00
_cell_angle_gamma 90.00
loop_
_space_group_symop_operation_xyz
'x,y,z'
'-y,x,z'
'-x,-y,z'
'y,-x,z'
'-x,y,z'
'y,x,z'
'x,-y,z'
'-y,-x,z'
loop_
_atom_site_label
_atom_site_fract_x
_atom_site_fract_y
_atom_site_fract_z
Sr1 0.0000 0.0000 0.0000
Sr2 0.5000 0.5000 0.4148
Re1 0.5000 0.5000 0.7598
Ag1 0.0000 0.0000 0.6483
# - Energy of formation: 785 meV/atom
# - Total moment: 0.72 μB/cell
# - E above lowest polymorph: 0.25 eV per formula unit
# - Raw total energy: -4.2962 eV/atom

Entry 7:
# SrRe2Ag PBEsol optimized geometry
data_SrRe2Ag
_chemical_formula_sum 'Sr4 Re8 Ag4'
_space_group_name_H-M_alt 'F -4 3 m'
_space_group_IT_number 216
_space_group_name_Hall 'F -4 2 3'
_cell_length_a 6.5902
_cell_length_b 6.5902
_cell_length_c 6.5902
_cell_angle_alpha 90.00
_cell_angle_beta 90.00
_cell_angle_gamma 90.00
loop_
_atom_site_label
_atom_site_fract_x
_atom_site_fract_y
_atom_site_fract_z
Sr1 0.0000 0.0000 0.0000
Re1 0.0000 0.0000 0.5000
Re2 0.2500 0.2500 0.2500
Ag1 0.2500 0.2500 0.7500
# - Energy of formation: 1003 meV/atom
# - Total moment: 0.01 μB/cell
# - E above lowest polymorph: 0.19 eV per formula unit
# - Raw total energy: -6.9506 eV/atom

Entry 8:
# Sr2ReAg PBEsol optimized geometry
data_Sr2ReAg
_chemical_formula_sum 'Sr2 Re1 Ag1'
_space_group_name_H-M_alt 'P m m m'
_space_group_IT_number 47
_cell_length_a 3.0237
_cell_length_b 3.6895
_cell_length_c 8.6792
_cell_angle_alpha 90.00
_cell_angle_beta 90.00
_cell_angle_gamma 90.00
loop_
_space_group_symop_operation_xyz
'x,y,z'
'-x,-y,-z'
'-x,-y,z'
'x,y,-z'
'x,-y,-z'
'-x,y,z'
'-x,y,-z'
'x,-y,z'
loop_
_atom_site_label
_atom_site_fract_x
_atom_site_fract_y
_atom_site_fract_z
Sr1 0.0000 0.0000 0.2351
Re1 0.5000 0.5000 0.0000
Ag1 0.5000 0.5000 0.5000
# - Energy of formation: 723 meV/atom
# - Total moment: 0.00 μB/cell
# - E above lowest polymorph: 0.00 eV per formula unit
# - Raw total energy: -4.3576 eV/atom